Record 1
{"formula": "GdYMn2", "functional": "PBE", "state": "relaxed", "relative_energy_mev_per_atom": 0, "formation_energy_mev_per_atom": 195, "cell": [[3.569, 0.000, 0.000], [0.000, 5.004, 0.000], [0.000, 0.000, 5.004]], "species": ["Y", "Gd", "Mn", "Mn"], "frac_coords": [[0.500, 0.000, 0.000], [0.500, 0.500, 0.500], [0.000, 0.000, 0.500], [0.000, 0.500, 0.000]]}


Record 2
{"formula": "HfZn2Co", "functional": "PBE", "state": "relaxed", "formation_energy_mev_per_atom": -88, "cell": [[0.000, 3.085, 3.085], [3.085, 0.000, 3.085], [3.085, 3.085, 0.000]], "species": ["Co", "Zn", "Zn", "Hf"], "frac_coords": [[0.000, 0.000, 0.000], [0.250, 0.250, 0.250], [0.750, 0.750, 0.750], [0.500, 0.500, 0.500]]}


Record 3
{"formula": "Nd3Rh2Br", "functional": "PBE", "state": "relaxed", "raw_formation_energy_kj_per_mol_atoms": -65, "cell": [[4.201, 0.000, 0.000], [-2.101, 8.110, 0.000], [0.000, 0.000, 9.729]], "species": ["Nd", "Nd", "Nd", "Nd", "Nd", "Nd", "Rh", "Rh", "Rh", "Rh", "Br", "Br"], "frac_coords": [[0.612, 0.224, 0.056], [0.121, 0.241, 0.750], [0.612, 0.224, 0.444], [0.879, 0.759, 0.250], [0.388, 0.776, 0.944], [0.388, 0.776, 0.556], [0.000, 0.000, 0.000], [0.000, 0.000, 0.500], [0.486, 0.972, 0.250], [0.514, 0.028, 0.750], [0.224, 0.447, 0.250], [0.776, 0.553, 0.750]]}


Record 4
{"formula": "Tl2GaBi", "functional": "PBE", "state": "relaxed", "relative_energy_mev_per_atom": 0, "formation_energy_mev_per_atom": 7, "cell": [[-3.995, -2.080, -2.661], [-0.443, -3.786, 3.583], [-3.322, 7.563, 3.956]], "species": ["Tl", "Tl", "Tl", "Tl", "Ga", "Ga", "Bi", "Bi"], "frac_coords": [[0.865, 0.865, 0.233], [0.135, 0.135, 0.767], [0.500, 0.000, 0.500], [0.000, 0.500, 0.500], [0.245, 0.755, 0.000], [0.755, 0.245, 0.000], [0.353, 0.353, 0.198], [0.647, 0.647, 0.802]]}


Across the entries above, calculated density takes the values 6.62 10.41 7.20 9.86 g cm⁻³, respectively.